[1]
## Li2AlIr (PBE-GGA)

Data for a relaxed Li2AlIr crystal.

Unit cell a=3.0748 b=3.0748 c=6.1471 alpha=90.00 beta=90.00 gamma=90.00
Closest atoms and distances in Å follow each position.
Fractional positions:
Li 0.0000 0.0000 0.0000  4 Ir 2.63, 4 Li 2.72, 1 Al 2.75
Li 0.5000 0.5000 0.2650  4 Li 2.72, 4 Al 2.80, 1 Ir 3.03
Al 0.0000 0.0000 0.5531  4 Ir 2.51, 5 Li 2.75-2.80
Ir 0.5000 0.5000 0.7585  4 Al 2.51, 4 Li 2.63

## Properties
The formation enthalpy at 0 K is -1.52 eV/f.u. Its symmetry is No. 99.

***

[2]
## ScMoW2 (PBE-GGA)

Data for a relaxed ScMoW2 crystal.

Unit cell a=2.7911 b=4.5212 c=5.4338 alpha=90.00 beta=99.73 gamma=90.00
Closest atoms and distances in Å follow each position.
Fractional positions:
Sc 0.0000 0.0000 0.0000  2 Sc 2.79, 2 Mo 2.80, 4 W 2.82-2.85
Mo 0.2623 0.5000 0.7485  4 W 2.76-2.84, 2 Mo 2.79, 2 Sc 2.80
W 0.4848 0.0000 0.5003  4 W 2.75-2.79, 2 Mo 2.76, 2 Sc 2.82-2.85
W 0.7169 0.5000 0.2571  4 W 2.75-2.79, 2 Sc 2.84, 2 Mo 2.84

## Properties
The formation enthalpy at 0 K is 0.53 eV/f.u. For the excess energy over the best structure of this formula in the dataset, the calculation gives 0.044 eV per atom. Its symmetry is No. 6.

***

[3]
## Ga3ReRu (PBE-GGA)

Data for a relaxed Ga3ReRu crystal.

Unit cell a=4.7571 b=4.7571 c=4.7571 alpha=90.00 beta=90.00 gamma=90.00
Closest atoms and distances in Å follow each position.
Fractional positions:
Ga 0.0000 0.0000 0.5000  2 Re 2.38
Ga 0.0000 0.5000 0.0000  2 Re 2.38
Ga 0.5000 0.0000 0.0000  2 Re 2.38
Re 0.0000 0.0000 0.0000  6 Ga 2.38
Ru 0.5000 0.5000 0.5000  12 Ga 3.36

## Properties
The formation enthalpy at 0 K is 4.80 eV/f.u. For the excess energy over the best structure of this formula in the dataset, the calculation gives 0.000 eV per atom. Its symmetry is No. 221.